Record 1
The following is a SCAN calculation of a crystal of SrMnP2O relaxed with PBEsol, from the Alexandria database.

Computed properties:
E: -71.3 eV per cell
Crystal system: tetragonal
Total magnetization: 0.453 μB per atom
Raw formation energy: -0.739 eV/atom

a = 3.506 Å, b = 4.893 Å, c = 4.893 Å
α = 90.00°, β = 90.00°, γ = 90.00°
Site moments in Bohr magnetons follow the coordinates.
Atoms (fractional coordinates):
Sr 0.500 0.500 0.500  0.01
Mn 0.000 0.000 0.000  2.88
O 0.500 0.000 0.000  -0.10
P 0.000 0.000 0.500  -0.16
P 0.000 0.500 0.000  -0.16



Record 2
The following is a SCAN calculation of a crystal of CsRb2CoF6 relaxed with PBEsol, from the Alexandria database.

Computed properties:
E: -144.8 eV per cell
Crystal system: cubic
Total magnetization: 0.014 μB per atom
Raw formation energy: -2.694 eV/atom

a = 6.414 Å, b = 6.414 Å, c = 6.414 Å
α = 60.00°, β = 60.00°, γ = 60.00°
Site moments in Bohr magnetons follow the coordinates.
Atoms (fractional coordinates):
Cs 0.500 0.500 0.500  0.00
Co 0.000 0.000 0.000  0.12
Rb 0.750 0.750 0.750  0.00
Rb 0.250 0.250 0.250  0.00
F 0.203 0.797 0.797  0.00
F 0.797 0.797 0.203  0.00
F 0.203 0.203 0.797  0.00
F 0.797 0.203 0.203  0.00
F 0.203 0.797 0.203  0.00
F 0.797 0.203 0.797  0.00



Record 3
The following is a SCAN calculation of a crystal of Ta2Si2Ru relaxed with PBEsol, from the Alexandria database.

Computed properties:
E: -381.8 eV per cell
Crystal system: tetragonal
Total magnetization: 0.000 μB per atom
Raw formation energy: -0.577 eV/atom

a = 4.053 Å, b = 6.039 Å, c = 6.039 Å
α = 90.00°, β = 90.00°, γ = 90.00°
Atoms (fractional coordinates):
Ru 0.000 0.000 0.000
Ru 0.000 0.500 0.500
Si 0.000 0.362 0.862
Si 0.000 0.862 0.638
Si 0.000 0.638 0.138
Si 0.000 0.138 0.362
Ta 0.500 0.161 0.661
Ta 0.500 0.661 0.839
Ta 0.500 0.839 0.339
Ta 0.500 0.339 0.161



Record 4
The following is a SCAN calculation of a crystal of HfNb3P relaxed with PBEsol, from the Alexandria database.

Computed properties:
E: -163.7 eV per cell
Formation energy: 1.7564 eV per atom
Crystal system: cubic
Total magnetization: 0.000 μB per atom

a = 4.821 Å, b = 4.821 Å, c = 4.821 Å
α = 90.00°, β = 90.00°, γ = 90.00°
Atoms (fractional coordinates):
P 0.500 0.500 0.500
Nb 0.000 0.500 0.000
Nb 0.000 0.000 0.500
Nb 0.500 0.000 0.000
Hf 0.000 0.000 0.000



Record 5
The following is a SCAN calculation of a crystal of ScGa2Pd2 relaxed with PBEsol, from the Alexandria database.

Computed properties:
E: -116.2 eV per cell
Formation energy: -0.7473 eV per atom
Crystal system: tetragonal
Total magnetization: 0.000 μB per atom

a = 3.951 Å, b = 3.951 Å, c = 6.042 Å
α = 109.08°, β = 109.08°, γ = 90.00°
Atoms (fractional coordinates):
Sc 0.000 0.000 0.000
Ga 0.388 0.388 0.777
Ga 0.612 0.612 0.223
Pd 0.250 0.750 0.500
Pd 0.750 0.250 0.500



Record 6
The following is a SCAN calculation of a crystal of SrScPb2 relaxed with PBEsol, from the Alexandria database.

Computed properties:
E: -189.3 eV per cell
Formation energy: -0.2942 eV per atom
Crystal system: tetragonal
Total magnetization: 0.000 μB per atom

a = 4.217 Å, b = 4.217 Å, c = 6.833 Å
α = 90.00°, β = 90.00°, γ = 90.00°
Atoms (fractional coordinates):
Pb 0.000 0.000 0.006
Pb 0.500 0.500 0.301
Sc 0.000 0.000 0.422
Sr 0.500 0.500 0.770